Entry 1:
# HfTaB, optimized geometry, DFT PBE
data_HfTaB
_symmetry_space_group_name_H-M 'F -4 3 m'
_symmetry_Int_Tables_number 216
_symmetry_space_group_name_Hall 'F -4 2 3'
_cell_length_a 6.045
_cell_length_b 6.045
_cell_length_c 6.045
_cell_angle_alpha 90.00
_cell_angle_beta 90.00
_cell_angle_gamma 90.00
loop_
_atom_site_label
_atom_site_type_symbol
_atom_site_fract_x
_atom_site_fract_y
_atom_site_fract_z
_atom_site_occupancy
Hf1 Hf 0.000 0.000 0.000 1
Ta1 Ta 0.250 0.250 0.750 1
B1 B 0.000 0.000 0.500 1
# Uncorrected energy: -7.919 eV/atom
# Crystal system: cubic



Entry 2:
# TbHfB4, optimized geometry, DFT PBE
data_TbHfB4
_symmetry_space_group_name_H-M 'P 6/m m m'
_symmetry_Int_Tables_number 191
_symmetry_space_group_name_Hall '-P 6 2'
_cell_length_a 3.2040
_cell_length_b 3.2040
_cell_length_c 7.4184
_cell_angle_alpha 90.00
_cell_angle_beta 90.00
_cell_angle_gamma 120.00
loop_
_atom_site_label
_atom_site_type_symbol
_atom_site_fract_x
_atom_site_fract_y
_atom_site_fract_z
_atom_site_occupancy
Tb1 Tb 0.0000 0.0000 0.0000 1
Hf1 Hf 0.0000 0.0000 0.5000 1
B1 B 0.3333 0.6667 0.2693 1
# Uncorrected energy: -7.681 eV/atom
# Crystal system: hexagonal



Entry 3:
# HfTc2B, optimized geometry, DFT PBE
data_HfTc2B
_symmetry_space_group_name_H-M 'F -4 3 m'
_symmetry_Int_Tables_number 216
_symmetry_space_group_name_Hall 'F -4 2 3'
_cell_length_a 6.099
_cell_length_b 6.099
_cell_length_c 6.099
_cell_angle_alpha 90.00
_cell_angle_beta 90.00
_cell_angle_gamma 90.00
loop_
_atom_site_label
_atom_site_type_symbol
_atom_site_fract_x
_atom_site_fract_y
_atom_site_fract_z
_atom_site_occupancy
Hf1 Hf 0.000 0.000 0.000 1
Tc1 Tc 0.000 0.000 0.500 1
Tc2 Tc 0.250 0.250 0.250 1
B1 B 0.250 0.250 0.750 1
# Uncorrected energy: -9.020 eV/atom
# Crystal system: cubic



Entry 4:
# Hf2TcB, optimized geometry, DFT PBE
data_Hf2TcB
_symmetry_space_group_name_H-M 'F -4 3 m'
_symmetry_Int_Tables_number 216
_symmetry_space_group_name_Hall 'F -4 2 3'
_cell_length_a 6.259
_cell_length_b 6.259
_cell_length_c 6.259
_cell_angle_alpha 90.00
_cell_angle_beta 90.00
_cell_angle_gamma 90.00
loop_
_atom_site_label
_atom_site_type_symbol
_atom_site_fract_x
_atom_site_fract_y
_atom_site_fract_z
_atom_site_occupancy
Hf1 Hf 0.000 0.000 0.000 1
Hf2 Hf 0.250 0.250 0.250 1
Tc1 Tc 0.250 0.250 0.750 1
B1 B 0.000 0.000 0.500 1
# Uncorrected energy: -8.911 eV/atom
# Crystal system: cubic



Entry 5:
# HfTcB2, optimized geometry, DFT PBE
data_HfTcB2
_symmetry_space_group_name_H-M 'F -4 3 m'
_symmetry_Int_Tables_number 216
_symmetry_space_group_name_Hall 'F -4 2 3'
_cell_length_a 5.827
_cell_length_b 5.827
_cell_length_c 5.827
_cell_angle_alpha 90.00
_cell_angle_beta 90.00
_cell_angle_gamma 90.00
loop_
_atom_site_label
_atom_site_type_symbol
_atom_site_fract_x
_atom_site_fract_y
_atom_site_fract_z
_atom_site_occupancy
Hf1 Hf 0.000 0.000 0.000 1
Tc1 Tc 0.250 0.250 0.750 1
B1 B 0.000 0.000 0.500 1
B2 B 0.250 0.250 0.250 1
# Uncorrected energy: -7.481 eV/atom
# Crystal system: cubic



Entry 6:
# HfBTe2, optimized geometry, DFT PBE
data_HfBTe2
_symmetry_space_group_name_H-M 'F -4 3 m'
_symmetry_Int_Tables_number 216
_symmetry_space_group_name_Hall 'F -4 2 3'
_cell_length_a 6.983
_cell_length_b 6.983
_cell_length_c 6.983
_cell_angle_alpha 90.00
_cell_angle_beta 90.00
_cell_angle_gamma 90.00
loop_
_atom_site_label
_atom_site_type_symbol
_atom_site_fract_x
_atom_site_fract_y
_atom_site_fract_z
_atom_site_occupancy
Hf1 Hf 0.000 0.000 0.000 1
B1 B 0.250 0.250 0.750 1
Te1 Te 0.000 0.000 0.500 1
Te2 Te 0.250 0.250 0.250 1
# Uncorrected energy: -4.766 eV/atom
# Crystal system: cubic